IrCO2F | PBE-GGA | optimized geometry

Cell: 3.8082 3.8082 4.2655 Å, 90.00 90.00 90.00°
With the nearest neighbours (Å) after each atom.
Fractional coordinates of all 5 atoms:
Ir1 0.0000 0.0000 0.0000  4 O 1.90
C1 0.5000 0.5000 0.5000  4 F 2.69, 8 O 2.86
O1 0.0000 0.5000 0.0000  2 Ir 1.90
O2 0.5000 0.0000 0.0000  2 Ir 1.90
F1 0.0000 0.0000 0.5000  2 Ir 2.13

Space group ... P4/mmm, No. 123
Calculated total energy ... -5.032 eV per atom

Rb2IrCF6 | PBE-GGA | optimized geometry

Cell: 6.4592 6.4592 6.4592 Å, 127.53 127.53 77.39°
With the nearest neighbours (Å) after each atom.
Fractional coordinates of all 10 atoms:
Rb1 0.2500 0.7500 0.5000  12 F 2.90-3.23
Rb2 0.7500 0.2500 0.5000  12 F 2.90-3.23
Ir1 0.0000 0.0000 0.0000  6 F 2.03-2.05
C1 0.5000 0.5000 0.0000  4 F 1.99
F1 0.2016 0.2016 0.0000  1 Ir 2.03
F2 0.2539 0.2539 0.5078  1 C 1.99, 1 Ir 2.05
F3 0.2539 0.7461 0.0000  1 C 1.99, 1 Ir 2.05
F4 0.7461 0.2539 0.0000  1 C 1.99, 1 Ir 2.05
F5 0.7461 0.7461 0.4922  1 C 1.99, 1 Ir 2.05
F6 0.7984 0.7984 0.0000  1 Ir 2.03

Space group ... I4/mmm, No. 139
Calculated total energy ... -4.380 eV per atom

Ir2RhCF | PBE-GGA | optimized geometry

Cell: 4.7387 4.7387 3.8575 Å, 90.00 90.00 90.00°
With the nearest neighbours (Å) after each atom.
Fractional coordinates of all 5 atoms:
Ir1 0.0000 0.5000 0.0000  2 Rh 2.37
Ir2 0.5000 0.0000 0.0000  2 Rh 2.37
Rh1 0.0000 0.0000 0.0000  2 F 1.93
C1 0.5000 0.5000 0.5000  8 Ir 3.06, 4 F 3.35
F1 0.0000 0.0000 0.5000  2 Rh 1.93

Space group ... P4/mmm, No. 123
Calculated total energy ... -4.978 eV per atom

Respective magnetization values: 1.0 1.0 0.0 μB/f.u..
Respective mass density values: 6851 4941 9937 kg/m3.